This record from the Alexandria database describes LaVOF2 after structural relaxation. The functional is PBE with a Hubbard U.

Unit cell a=4.0865 b=4.0865 c=4.2575 alpha=90.00 beta=90.00 gamma=90.00
Sites, in units of the cell vectors:
O 0.0000 0.0000 0.5000
F 0.0000 0.5000 0.0000
F 0.5000 0.0000 0.0000
V 0.0000 0.0000 0.0000
La 0.5000 0.5000 0.5000

Polymorph energy (0 for the lowest one)   0.0000 eV/atom
Space group   P4/mmm
M_tot   3.03 Bohr magnetons per cell